A relaxed Ba6Ni5O15 crystal, computed with GGA+U.

a = 7.2091 Å, b = 7.2091 Å, c = 7.2091 Å
α = 88.27°, β = 88.27°, γ = 88.27°
Fractional positions:
Ba: 0.0000 0.3363 0.6637
Ba: 0.1488 0.8512 0.5000
Ba: 0.3363 0.6637 0.0000
Ba: 0.5000 0.1488 0.8512
Ba: 0.6637 0.0000 0.3363
Ba: 0.8512 0.5000 0.1488
Ni: 0.0950 0.0950 0.0950
Ni: 0.2900 0.2900 0.2900
Ni: 0.5000 0.5000 0.5000
Ni: 0.7100 0.7100 0.7100
Ni: 0.9050 0.9050 0.9050
O: 0.0000 0.8566 0.1434
O: 0.0368 0.1934 0.3289
O: 0.1434 0.0000 0.8566
O: 0.1934 0.3289 0.0368
O: 0.2346 0.5294 0.3646
O: 0.3289 0.0368 0.1934
O: 0.3646 0.2346 0.5294
O: 0.4706 0.7654 0.6354
O: 0.5294 0.3646 0.2346
O: 0.6354 0.4706 0.7654
O: 0.6711 0.8066 0.9632
O: 0.7654 0.6354 0.4706
O: 0.8066 0.9632 0.6711
O: 0.8566 0.1434 0.0000
O: 0.9632 0.6711 0.8066

Summary:
calculated total energy = -141.09 eV per cell
space-group type = No. 155